No. 1
{
  "formula": "ZnHOs",
  "functional": "GGA-PBE",
  "state": "optimized geometry",
  "vol_a3_per_cell": 64.31,
  "total_magnetization_mub_per_cell": 0.00,
  "n_ef_per_ev_atom": 0.169,
  "final_energy_ev_per_atom": -5.0413,
  "cell": [[-3.563, -0.211, 2.756], [-1.382, -1.555, -1.905], [2.467, -4.175, 1.619]],
  "species": ["H", "H", "Os", "Os", "Zn", "Zn"],
  "fractional_positions": [[0.951, 0.500, 0.412], [0.569, 0.000, 0.543], [0.825, 0.000, 0.147], [0.762, 0.500, 0.709], [0.345, 0.500, 0.251], [0.266, 0.000, 0.806]]
}

=====

No. 2
{
  "formula": "La4TeW",
  "functional": "GGA-PBE",
  "state": "optimized geometry",
  "e_form_raw_ev_per_atom": 0.644,
  "vol_a3_per_cell": 175.03,
  "total_magnetization_mub_per_cell": 0.00,
  "n_ef_per_ev_atom": 1.222,
  "cell": [[0.000, 4.440, 4.440], [4.440, 0.000, 4.440], [4.440, 4.440, 0.000]],
  "species": ["La", "La", "La", "La", "Te", "W"],
  "fractional_positions": [[0.373, 0.880, 0.373], [0.373, 0.373, 0.373], [0.880, 0.373, 0.373], [0.373, 0.373, 0.880], [0.750, 0.750, 0.750], [0.000, 0.000, 0.000]]
}

=====

No. 3
{
  "formula": "Li2TlInO4",
  "functional": "GGA-PBE",
  "state": "optimized geometry",
  "e_form_raw_ev_per_atom": -1.398,
  "vol_a3_per_cell": 192.22,
  "total_magnetization_mub_per_cell": 0.00,
  "cell": [[-3.097, 0.478, 5.675], [5.345, -2.044, 3.045], [0.310, 5.102, -3.897]],
  "species": ["Tl", "Tl", "Li", "Li", "Li", "Li", "O", "O", "O", "O", "O", "O", "O", "O", "In", "In"],
  "fractional_positions": [[0.500, 0.500, 0.500], [0.000, 0.000, 0.000], [0.500, 0.000, 0.500], [0.500, 0.000, 0.000], [0.000, 0.000, 0.500], [0.500, 0.500, 0.000], [0.237, 0.739, 0.488], [0.239, 0.737, 0.988], [0.761, 0.263, 0.012], [0.763, 0.261, 0.512], [0.243, 0.258, 0.996], [0.758, 0.743, 0.496], [0.757, 0.742, 0.004], [0.242, 0.257, 0.504], [0.000, 0.500, 0.000], [0.000, 0.500, 0.500]]
}

=====

No. 4
{
  "formula": "PaTcS2",
  "functional": "GGA-PBE",
  "state": "optimized geometry",
  "e_form_raw_ev_per_atom": -0.274,
  "vol_a3_per_cell": 88.24,
  "total_magnetization_mub_per_cell": 3.25,
  "n_ef_per_ev_atom": 0.893,
  "cell": [[-1.779, 1.009, 2.827], [0.566, -1.564, 3.068], [5.559, 5.416, 3.719]],
  "species": ["S", "S", "Tc", "Pa"],
  "fractional_positions": [[0.093, 0.093, 0.720], [0.907, 0.907, 0.280], [0.000, 0.000, 0.000], [0.500, 0.500, 0.500]]
}

=====

No. 5
{
  "formula": "Tb2Zn3Au4",
  "functional": "GGA-PBE",
  "state": "optimized geometry",
  "vol_a3_per_cell": 353.76,
  "formation_enthalpy_0k_ev_per_fu": -5.14,
  "total_magnetization_mub_per_cell": 0.00,
  "n_ef_per_ev_atom": 0.537,
  "cell": [[-4.159, -3.225, -2.289], [4.257, -6.622, 1.596], [-1.301, 1.095, 8.015]],
  "species": ["Zn", "Zn", "Zn", "Zn", "Zn", "Zn", "Au", "Au", "Au", "Au", "Au", "Au", "Au", "Au", "Tb", "Tb", "Tb", "Tb"],
  "fractional_positions": [[0.027, 0.750, 0.553], [0.500, 0.500, 0.000], [0.527, 0.750, 0.553], [0.973, 0.250, 0.447], [0.473, 0.250, 0.447], [0.000, 0.000, 0.000], [0.316, 0.469, 0.633], [0.700, 0.750, 0.901], [0.800, 0.250, 0.099], [0.684, 0.531, 0.367], [0.200, 0.750, 0.901], [0.184, 0.969, 0.367], [0.816, 0.031, 0.633], [0.300, 0.250, 0.099], [0.386, 0.087, 0.772], [0.614, 0.913, 0.228], [0.886, 0.413, 0.772], [0.114, 0.587, 0.228]]
}

=====

No. 6
{
  "formula": "TbDyPbO2",
  "functional": "GGA-PBE",
  "state": "optimized geometry",
  "e_form_raw_ev_per_atom": -2.561,
  "vol_a3_per_cell": 105.59,
  "total_magnetization_mub_per_cell": 0.00,
  "n_ef_per_ev_atom": 0.401,
  "cell": [[3.854, 0.000, 0.000], [0.000, 3.854, 0.000], [-1.927, -1.927, 7.108]],
  "species": ["Pb", "Dy", "O", "O", "Tb"],
  "fractional_positions": [[0.500, 0.500, 0.001], [0.171, 0.171, 0.342], [0.749, 0.249, 0.499], [0.249, 0.749, 0.499], [0.830, 0.830, 0.659]]
}

=====

No. 7
{
  "formula": "Cs2CaMg",
  "functional": "GGA-PBE",
  "state": "optimized geometry",
  "vol_a3_per_cell": 621.60,
  "formation_enthalpy_0k_ev_per_fu": 1.45,
  "total_magnetization_mub_per_cell": 0.00,
  "n_ef_per_ev_atom": 0.678,
  "cell": [[-7.449, 6.999, -8.978], [2.886, -9.218, -9.581], [-5.000, -2.875, -8.400]],
  "species": ["Cs", "Cs", "Cs", "Cs", "Ca", "Ca", "Mg", "Mg"],
  "fractional_positions": [[0.503, 0.125, 0.250], [0.247, 0.625, 0.250], [0.875, 0.753, 0.750], [0.375, 0.497, 0.750], [0.000, 0.000, 0.000], [0.750, 0.250, 0.500], [0.250, 0.750, 0.500], [0.500, 0.500, 0.000]]
}

=====

No. 8
{
  "formula": "Ca2YMn",
  "functional": "GGA-PBE",
  "state": "optimized geometry",
  "vol_a3_per_cell": 121.26,
  "formation_enthalpy_0k_ev_per_fu": 1.62,
  "total_magnetization_mub_per_cell": 2.57,
  "n_ef_per_ev_atom": 1.590,
  "cell": [[6.355, -0.012, 0.000], [2.831, 5.689, 0.000], [-4.593, -2.839, 3.351]],
  "species": ["Ca", "Ca", "Mn", "Y"],
  "fractional_positions": [[0.000, 0.000, 0.000], [0.500, 0.500, 0.000], [0.250, 0.750, 0.500], [0.750, 0.250, 0.500]]
}

=====

No. 9
{
  "formula": "Tb8Hg3CSe3",
  "functional": "GGA-PBE",
  "state": "optimized geometry",
  "e_form_raw_ev_per_atom": -0.894,
  "vol_a3_per_cell": 413.20,
  "total_magnetization_mub_per_cell": 0.00,
  "n_ef_per_ev_atom": 0.654,
  "cell": [[-0.860, -2.969, 7.327], [3.542, -4.322, -5.651], [4.612, 6.779, 3.288]],
  "species": ["Tb", "Tb", "Tb", "Tb", "Tb", "Tb", "Tb", "Tb", "C", "Hg", "Hg", "Hg", "Se", "Se", "Se"],
  "fractional_positions": [[0.213, 0.991, 0.703], [0.258, 0.516, 0.275], [0.222, 0.009, 0.296], [0.787, 0.009, 0.297], [0.742, 0.484, 0.725], [0.787, 0.574, 0.296], [0.778, 0.991, 0.704], [0.213, 0.426, 0.704], [0.000, 0.000, 0.500], [0.500, 0.500, 0.000], [0.000, 0.500, 0.000], [0.000, 0.000, 0.000], [0.000, 0.500, 0.500], [0.500, 0.500, 0.500], [0.500, 0.000, 0.500]]
}

=====

No. 10
{
  "formula": "BiAuF2",
  "functional": "GGA-PBE",
  "state": "optimized geometry",
  "e_form_raw_ev_per_atom": -0.947,
  "vol_a3_per_cell": 74.64,
  "total_magnetization_mub_per_cell": 0.00,
  "n_ef_per_ev_atom": 0.463,
  "cell": [[8.755, -0.069, -0.041], [8.204, 3.056, -0.041], [8.204, 1.445, 2.693]],
  "species": ["Au", "F", "F", "Bi"],
  "fractional_positions": [[0.000, 0.000, 0.000], [0.096, 0.096, 0.096], [0.904, 0.904, 0.904], [0.500, 0.500, 0.500]]
}

=====

No. 11
{
  "formula": "PrGaPd4",
  "functional": "GGA-PBE",
  "state": "optimized geometry",
  "vol_a3_per_cell": 219.89,
  "formation_enthalpy_0k_ev_per_fu": -4.11,
  "total_magnetization_mub_per_cell": 0.00,
  "n_ef_per_ev_atom": 0.429,
  "cell": [[4.007, 0.000, 0.000], [0.000, 7.048, 0.000], [0.000, 0.000, 7.787]],
  "species": ["Pd", "Pd", "Pd", "Pd", "Pd", "Pd", "Pd", "Pd", "Ga", "Ga", "Pr", "Pr"],
  "fractional_positions": [[0.000, 0.000, 0.000], [0.500, 0.696, 0.053], [0.500, 0.304, 0.553], [0.500, 0.696, 0.447], [0.000, 0.000, 0.500], [0.500, 0.043, 0.250], [0.500, 0.957, 0.750], [0.500, 0.304, 0.947], [0.000, 0.214, 0.750], [0.000, 0.786, 0.250], [0.000, 0.645, 0.750], [0.000, 0.355, 0.250]]
}

=====

No. 12
{
  "formula": "LaTb4Pm2Pr",
  "functional": "GGA-PBE",
  "state": "optimized geometry",
  "vol_a3_per_cell": 269.83,
  "formation_enthalpy_0k_ev_per_fu": 0.14,
  "total_magnetization_mub_per_cell": 0.00,
  "n_ef_per_ev_atom": 1.389,
  "cell": [[-3.576, -1.583, -3.383], [8.213, -2.972, -7.293], [1.799, -4.807, 0.348]],
  "species": ["Pm", "Pm", "Tb", "Tb", "Tb", "Tb", "La", "Pr"],
  "fractional_positions": [[0.000, 0.000, 0.000], [0.500, 0.000, 0.500], [0.500, 0.247, 0.753], [0.000, 0.753, 0.747], [0.000, 0.247, 0.253], [0.500, 0.753, 0.247], [0.500, 0.500, 0.000], [0.000, 0.500, 0.500]]
}

=====

No. 13
{
  "formula": "ReSi2Ir",
  "functional": "GGA-PBE",
  "state": "optimized geometry",
  "e_form_raw_ev_per_atom": 0.504,
  "vol_a3_per_cell": 156.87,
  "total_magnetization_mub_per_cell": 0.00,
  "n_ef_per_ev_atom": 0.544,
  "cell": [[-2.398, 0.906, -4.969], [-0.595, -5.513, -0.718], [-5.998, -2.105, -0.636]],
  "species": ["Si", "Si", "Si", "Si", "Ir", "Ir", "Re", "Re"],
  "fractional_positions": [[0.875, 0.885, 0.750], [0.375, 0.365, 0.750], [0.635, 0.125, 0.250], [0.115, 0.625, 0.250], [0.750, 0.250, 0.500], [0.000, 0.000, 0.000], [0.500, 0.500, 0.000], [0.250, 0.750, 0.500]]
}

=====

No. 14
{
  "formula": "Li2CeZrS4",
  "functional": "GGA-PBE",
  "state": "optimized geometry",
  "e_form_raw_ev_per_atom": -1.599,
  "vol_a3_per_cell": 157.36,
  "total_magnetization_mub_per_cell": 1.38,
  "n_ef_per_ev_atom": 0.899,
  "cell": [[-1.070, -2.459, 2.703], [6.174, -2.383, 0.275], [-0.621, 4.991, 4.296]],
  "species": ["S", "S", "S", "S", "Ce", "Zr", "Li", "Li"],
  "fractional_positions": [[0.500, 0.730, 0.741], [0.000, 0.735, 0.250], [0.000, 0.265, 0.750], [0.500, 0.270, 0.259], [0.000, 0.000, 0.000], [0.500, 0.500, 0.000], [0.000, 0.500, 0.500], [0.500, 0.000, 0.500]]
}

=====

No. 15
{
  "formula": "V12Ge5C2",
  "functional": "GGA-PBE",
  "state": "optimized geometry",
  "vol_a3_per_cell": 282.22,
  "formation_enthalpy_0k_ev_per_fu": -0.56,
  "total_magnetization_mub_per_cell": 0.00,
  "n_ef_per_ev_atom": 0.838,
  "cell": [[6.146, 0.000, 0.000], [-3.073, 6.669, 0.000], [0.000, -2.315, 6.886]],
  "species": ["V", "V", "V", "V", "V", "V", "V", "V", "V", "V", "V", "V", "Ge", "Ge", "Ge", "Ge", "Ge", "C", "C"],
  "fractional_positions": [[0.005, 0.009, 0.167], [0.387, 0.309, 0.095], [0.575, 0.748, 0.461], [0.173, 0.748, 0.461], [0.078, 0.691, 0.905], [0.513, 0.026, 0.204], [0.922, 0.309, 0.095], [0.425, 0.252, 0.539], [0.487, 0.974, 0.796], [0.995, 0.991, 0.833], [0.613, 0.691, 0.905], [0.827, 0.252, 0.539], [0.313, 0.627, 0.142], [0.270, 0.541, 0.640], [0.687, 0.373, 0.858], [0.730, 0.459, 0.360], [0.000, 0.000, 0.500], [0.268, 0.000, 0.000], [0.732, 0.000, 0.000]]
}

=====

No. 16
{
  "formula": "Tb2DyHo5Zr",
  "functional": "GGA-PBE",
  "state": "optimized geometry",
  "vol_a3_per_cell": 555.79,
  "formation_enthalpy_0k_ev_per_fu": 1.60,
  "total_magnetization_mub_per_cell": 0.00,
  "n_ef_per_ev_atom": 1.531,
  "cell": [[5.493, 0.000, 0.000], [-2.746, 10.152, 0.000], [0.000, 0.000, 9.966]],
  "species": ["Dy", "Dy", "Zr", "Zr", "Tb", "Tb", "Tb", "Tb", "Ho", "Ho", "Ho", "Ho", "Ho", "Ho", "Ho", "Ho", "Ho", "Ho"],
  "fractional_positions": [[0.597, 0.194, 0.947], [0.403, 0.806, 0.447], [0.811, 0.623, 0.521], [0.189, 0.377, 0.021], [0.121, 0.242, 0.733], [0.879, 0.758, 0.233], [0.110, 0.220, 0.312], [0.890, 0.780, 0.812], [0.266, 0.532, 0.336], [0.364, 0.729, 0.023], [0.518, 0.035, 0.239], [0.300, 0.600, 0.701], [0.636, 0.271, 0.523], [0.700, 0.400, 0.201], [0.984, 0.968, 0.513], [0.734, 0.468, 0.836], [0.016, 0.032, 0.013], [0.482, 0.965, 0.739]]
}

=====

No. 17
{
  "formula": "LaYSb2",
  "functional": "GGA-PBE",
  "state": "optimized geometry",
  "e_form_raw_ev_per_atom": -0.947,
  "vol_a3_per_cell": 119.48,
  "total_magnetization_mub_per_cell": 0.00,
  "n_ef_per_ev_atom": 0.376,
  "cell": [[-3.788, -0.541, 3.011], [3.743, -0.901, 4.547], [0.036, 4.045, 0.772]],
  "species": ["Sb", "Sb", "La", "Y"],
  "fractional_positions": [[0.000, 0.000, 0.000], [0.500, 0.500, 0.000], [0.000, 0.500, 0.500], [0.500, 0.000, 0.500]]
}

=====

No. 18
{
  "formula": "Te2As",
  "functional": "GGA-PBE",
  "state": "optimized geometry",
  "e_form_raw_ev_per_atom": 0.402,
  "vol_a3_per_cell": 152.64,
  "total_magnetization_mub_per_cell": 0.00,
  "n_ef_per_ev_atom": 0.647,
  "cell": [[-4.914, 0.859, 1.583], [0.959, -1.263, -4.987], [-0.620, -6.236, 1.461]],
  "species": ["As", "As", "Te", "Te", "Te", "Te"],
  "fractional_positions": [[0.333, 0.667, 0.250], [0.667, 0.333, 0.750], [0.000, 0.000, 0.000], [0.667, 0.333, 0.250], [0.333, 0.667, 0.750], [0.000, 0.000, 0.500]]
}

=====

No. 19
{
  "formula": "Rb2GaAu",
  "functional": "GGA-PBE",
  "state": "optimized geometry",
  "vol_a3_per_cell": 422.15,
  "formation_enthalpy_0k_ev_per_fu": -0.55,
  "total_magnetization_mub_per_cell": 0.00,
  "n_ef_per_ev_atom": 0.877,
  "cell": [[-8.283, -7.867, -6.387], [7.254, -10.363, 3.358], [-1.847, -9.382, 0.541]],
  "species": ["Ga", "Ga", "Au", "Au", "Rb", "Rb", "Rb", "Rb"],
  "fractional_positions": [[0.250, 0.750, 0.500], [0.500, 0.500, 0.000], [0.750, 0.250, 0.500], [0.000, 0.000, 0.000], [0.375, 0.191, 0.750], [0.941, 0.625, 0.250], [0.875, 0.059, 0.750], [0.809, 0.125, 0.250]]
}

=====

No. 20
{
  "formula": "Cs3Au",
  "functional": "GGA-PBE",
  "state": "optimized geometry",
  "vol_a3_per_cell": 243.01,
  "formation_enthalpy_0k_ev_per_fu": 0.03,
  "total_magnetization_mub_per_cell": 0.00,
  "n_ef_per_ev_atom": 0.345,
  "cell": [[6.260, 0.000, 0.000], [0.000, 6.260, 0.000], [-3.130, -3.130, 6.201]],
  "species": ["Cs", "Cs", "Cs", "Au"],
  "fractional_positions": [[0.250, 0.750, 0.500], [0.500, 0.500, 0.000], [0.750, 0.250, 0.500], [0.000, 0.000, 0.000]]
}

=====

No. 21
{
  "formula": "Tb3Al2BOs3",
  "functional": "GGA-PBE",
  "state": "optimized geometry",
  "vol_a3_per_cell": 159.49,
  "formation_enthalpy_0k_ev_per_fu": -1.85,
  "total_magnetization_mub_per_cell": 0.00,
  "n_ef_per_ev_atom": 0.595,
  "cell": [[-2.280, 1.822, -1.938], [-0.363, -5.485, -4.729], [-4.576, 0.251, 5.619]],
  "species": ["B", "Os", "Os", "Os", "Tb", "Tb", "Tb", "Al", "Al"],
  "fractional_positions": [[0.000, 0.000, 0.000], [0.500, 0.233, 0.233], [0.500, 0.000, 0.767], [0.500, 0.767, 0.000], [0.000, 0.000, 0.368], [0.000, 0.632, 0.632], [0.000, 0.368, 0.000], [0.500, 0.667, 0.333], [0.500, 0.333, 0.667]]
}

=====

No. 22
{
  "formula": "Ac3Mg2GaO9",
  "functional": "GGA-PBE",
  "state": "optimized geometry",
  "e_form_raw_ev_per_atom": -2.629,
  "vol_a3_per_cell": 192.46,
  "total_magnetization_mub_per_cell": 2.03,
  "n_ef_per_ev_atom": 0.793,
  "cell": [[-4.126, 3.564, -1.504], [0.490, -5.009, -2.580], [-4.196, -2.855, 4.746]],
  "species": ["O", "O", "O", "O", "O", "O", "O", "O", "O", "Ac", "Ac", "Ac", "Ga", "Mg", "Mg"],
  "fractional_positions": [[0.164, 0.836, 0.337], [0.500, 0.500, 0.000], [0.836, 0.672, 0.663], [0.328, 0.164, 0.663], [0.500, 0.000, 0.000], [0.164, 0.328, 0.337], [0.672, 0.836, 0.337], [0.000, 0.500, 0.000], [0.836, 0.164, 0.663], [0.333, 0.667, 0.670], [0.667, 0.333, 0.330], [0.000, 0.000, 0.000], [0.000, 0.000, 0.500], [0.333, 0.667, 0.171], [0.667, 0.333, 0.829]]
}

=====

No. 23
{
  "formula": "La2DyThN4",
  "functional": "GGA-PBE",
  "state": "optimized geometry",
  "e_form_raw_ev_per_atom": -1.506,
  "vol_a3_per_cell": 138.53,
  "total_magnetization_mub_per_cell": 0.00,
  "n_ef_per_ev_atom": 0.270,
  "cell": [[3.659, 0.000, 0.000], [0.000, 6.297, 0.111], [0.000, -2.200, 5.974]],
  "species": ["N", "N", "N", "N", "Th", "La", "La", "Dy"],
  "fractional_positions": [[0.000, 0.255, 0.768], [0.500, 0.756, 0.771], [0.500, 0.244, 0.229], [0.000, 0.745, 0.232], [0.000, 0.000, 0.000], [0.500, 0.000, 0.500], [0.000, 0.500, 0.500], [0.500, 0.500, 0.000]]
}